This record from the Alexandria database describes Cs2Cu2PbBr6 after structural relaxation. The functional is GGA-PBE.

a = 8.026 Å, b = 7.934 Å, c = 8.755 Å
α = 114.99°, β = 90.00°, γ = 120.38°
Sites, in units of the cell vectors:
Pb  0.500  0.000  0.500
Cu  0.951  0.901  0.760
Cu  0.049  0.099  0.240
Br  0.300  0.088  0.796
Br  0.247  0.494  0.344
Br  0.753  0.506  0.656
Br  0.212  0.912  0.204
Br  0.788  0.088  0.796
Br  0.700  0.912  0.204
Cs  0.280  0.560  0.791
Cs  0.720  0.440  0.209

Values from the calculation:
The value obtained for the total energy is -3.15 eV/atom. As for the formation energy without anion corrections: -1.005 eV per atom. The value obtained for the spin magnetization is 0.000 μB/atom.

This record from the Alexandria database describes SrIn3Os after structural relaxation. The functional is GGA-PBE.

a = 5.984 Å, b = 5.984 Å, c = 5.984 Å
α = 90.00°, β = 90.00°, γ = 90.00°
Site moments in Bohr magnetons follow the coordinates.
Sites, in units of the cell vectors:
In  0.000  0.500  0.000  -0.04
In  0.500  0.000  0.000  -0.01
In  0.000  0.000  0.500  -0.03
Sr  0.000  0.000  0.000  -0.02
Os  0.500  0.500  0.500  2.84

Values from the calculation:
The value obtained for the formation energy is 2.011 eV/atom. The value obtained for the total energy is -2.21 eV/atom. The value obtained for the spin magnetization is 0.574 μB/atom.

| no. | N(E_F) (states/eV/cell) | volume (Å³ per cell) |
| --- | --- | --- |
| 1 | 0.00 | 419.3 |
| 2 | 8.79 | 214.2 |